Zr2Si2TeS after structural relaxation, computed with PBE-GGA.

## Properties
Size of the total moment = 0.00 μB/cell
Final energy = -41.1 eV for the cell shown

Cell: 3.6031 3.6031 9.1310 Å, 90.00 90.00 90.00°
Space group P4mm (No. 99)
Symmetry-distinct sites (fractional):
Zr (0.0000, 0.0000, 0.0000) (multiplicity 1)
Zr (0.5000, 0.5000, 0.4747) (multiplicity 1)
Si (0.0000, 0.5000, 0.2344) (multiplicity 2)
Te (0.5000, 0.5000, 0.8433) (multiplicity 1)
S (0.0000, 0.0000, 0.5701) (multiplicity 1)